Entry 1:
A plane-wave DFT calculation with PBE-GGA was carried out for a geometry-optimized LaCoTeI2 structure.

Results
For the total magnetization, the calculation gives 2.543 μB/f.u. As for the symmetry: No. 123. The calculation puts the raw formation energy at 0.04 eV per atom.

```
LaCoTeI2
1.0
6.2187 0.0000 0.0000
0.0000 6.2187 0.0000
0.0000 0.0000 6.3034
La Co Te I
1 1 1 2
direct
0.0000 0.0000 0.0000
0.5000 0.5000 0.5000
0.0000 0.0000 0.5000
0.0000 0.5000 0.0000
0.5000 0.0000 0.0000
```



Entry 2:
A plane-wave DFT calculation with PBE-GGA was carried out for a geometry-optimized LaThCoI structure.

Results
For the total magnetization, the calculation gives 0.000 μB/f.u. As for the symmetry: No. 1. The calculation puts the raw formation energy at -0.64 eV per atom.

```
LaThCoI
1.0
4.0759 0.0000 0.0000
-1.9751 3.5769 0.0000
-0.0894 -2.3525 8.2341
La Th Co I
1 1 1 1
direct
0.0000 0.0000 0.0000
0.2205 0.4259 0.6488
0.6035 0.1997 0.8045
0.7754 0.5500 0.3258
```



Entry 3:
A plane-wave DFT calculation with PBE-GGA was carried out for a geometry-optimized La2TlCoI structure.

Results
For the total magnetization, the calculation gives 0.000 μB/f.u. As for the symmetry: No. 123. The calculation puts the raw formation energy at -0.45 eV per atom.

```
La2TlCoI
1.0
5.4447 0.0000 0.0000
0.0000 5.4447 0.0000
0.0000 0.0000 5.0177
La Tl Co I
2 1 1 1
direct
0.0000 0.5000 0.0000
0.5000 0.0000 0.0000
0.0000 0.0000 0.5000
0.0000 0.0000 0.0000
0.5000 0.5000 0.5000
```



Entry 4:
A plane-wave DFT calculation with PBE-GGA was carried out for a geometry-optimized LaTl2CoI structure.

Results
For the total magnetization, the calculation gives 0.000 μB/f.u. As for the symmetry: No. 123. The calculation puts the raw formation energy at -0.42 eV per atom.

```
LaTl2CoI
1.0
5.1816 0.0000 0.0000
0.0000 5.1816 0.0000
0.0000 0.0000 5.1761
La Tl Co I
1 2 1 1
direct
0.0000 0.0000 0.0000
0.0000 0.5000 0.5000
0.5000 0.0000 0.5000
0.0000 0.0000 0.5000
0.5000 0.5000 0.0000
```



Entry 5:
A plane-wave DFT calculation with PBE-GGA was carried out for a geometry-optimized LaTmCoI structure.

Results
For the total magnetization, the calculation gives 0.000 μB/f.u. As for the symmetry: No. 160. The calculation puts the raw formation energy at -0.61 eV per atom.

```
LaTmCoI
1.0
1.9959 1.1523 8.0683
-1.9959 1.1523 8.0683
0.0000 -2.3046 8.0683
La Tm Co I
1 1 1 1
direct
0.0000 0.0000 0.0000
0.2143 0.2143 0.2143
0.6062 0.6062 0.6062
0.7805 0.7805 0.7805
```



Entry 6:
A plane-wave DFT calculation with PBE-GGA was carried out for a geometry-optimized La6ZnCo2I3 structure.

Results
For the total magnetization, the calculation gives 0.000 μB/f.u. As for the symmetry: No. 12. The calculation puts the raw formation energy at -0.66 eV per atom.

```
La6ZnCo2I3
1.0
3.6771 -6.3604 0.0000
3.6771 6.3604 0.0000
-2.4635 0.0000 8.2151
La Zn Co I
6 1 2 3
direct
0.0747 0.4378 0.8122
0.1995 0.1995 0.1862
0.4378 0.0747 0.8122
0.5622 0.9253 0.1878
0.8005 0.8005 0.8138
0.9253 0.5622 0.1878
0.5000 0.5000 0.0000
0.1670 0.8330 0.0000
0.8330 0.1670 0.0000
0.0000 0.0000 0.5000
0.3387 0.6613 0.5000
0.6613 0.3387 0.5000
```



Entry 7:
A plane-wave DFT calculation with PBE-GGA was carried out for a geometry-optimized La2ZrCoI structure.

Results
For the total magnetization, the calculation gives 0.747 μB/f.u. As for the symmetry: No. 123. The calculation puts the raw formation energy at 0.27 eV per atom.

```
La2ZrCoI
1.0
5.9291 0.0000 0.0000
0.0000 5.9291 0.0000
0.0000 0.0000 4.4846
La Zr Co I
2 1 1 1
direct
0.0000 0.5000 0.0000
0.5000 0.0000 0.0000
0.0000 0.0000 0.0000
0.0000 0.0000 0.5000
0.5000 0.5000 0.5000
```



Entry 8:
A plane-wave DFT calculation with PBE-GGA was carried out for a geometry-optimized Li2CoI structure.

Results
For the total magnetization, the calculation gives 1.958 μB/f.u. As for the symmetry: No. 225. The calculation puts the raw formation energy at 0.24 eV per atom.

```
Li2CoI
1.0
0.0000 3.3969 3.3969
3.3969 0.0000 3.3969
3.3969 3.3969 0.0000
Li Co I
2 1 1
direct
0.2500 0.2500 0.2500
0.7500 0.7500 0.7500
0.0000 0.0000 0.0000
0.5000 0.5000 0.5000
```